Here is an optimized crystal structure of MoAs2F8 from Alexandria. Energies are from PBE+U.

## Properties
The value obtained for the size of the total moment is 2.904 μB per formula unit. As for the energy: -0.357 Ry per atom. As for the crystal system: monoclinic.

extended XYZ file:
```
11
Lattice="5.024 -0.001 -2.420 -0.957 4.426 -1.983 0.640 -0.914 7.752" Properties=species:S:1:pos:R:3 pbc="T T T"
F 3.377 1.727 0.584
F 1.330 1.783 2.766
F 1.003 3.976 -1.345
F 1.364 -0.463 5.822
F 3.704 -0.465 4.694
F 3.344 3.974 -2.473
F 0.251 2.022 0.518
F 4.457 1.489 2.831
Mo 0.000 0.000 0.000
As 3.766 0.185 1.392
As 0.942 3.326 1.957
```